1.
Dy5Ho3Tm2 | GGA-PBE | relaxed

Cell lengths 12.695, 16.754, 6.214 Å; angles 90.00, 90.00, 90.00 degrees
Space group Ibam (No. 72)
Inequivalent atoms, fractional coordinates:
1 Dy 0.000 0.000 0.250
2 Dy 0.100 0.157 0.000
3 Dy 0.249 0.500 0.250
4 Ho 0.000 0.500 0.250
5 Ho 0.159 0.249 0.500
6 Tm 0.098 0.343 0.000

Calculated values
Formation enthalpy at 0 K, eV per atom: 0.361
Density of states at the Fermi level, states/eV per atom: 1.560
Magnetic moment, μB per atom: 0.000
Offset from the most stable computed form, eV per formula unit: 1.56

***

2.
Ti2Bi2O7 | GGA-PBE | relaxed

Cell lengths 7.484, 9.013, 5.232 Å; angles 90.00, 98.41, 90.00 degrees
Space group C2/m (No. 12)
Inequivalent atoms, fractional coordinates:
1 Ti 0.236 0.000 0.436
2 Bi 0.000 0.300 0.000
3 O 0.000 0.000 0.500
4 O 0.105 0.500 0.249
5 O 0.240 0.337 0.758

Calculated values
Formation energy (no corrections), meV per atom: -2230
Density of states at the Fermi level, states/eV per atom: 0.000
Magnetic moment, μB per atom: 0.000
Offset from the most stable computed form, eV per formula unit: 0.00

***

3.
Pm4NdNi5 | GGA-PBE | relaxed

Cell lengths 3.460, 3.460, 17.526 Å; angles 90.00, 90.00, 90.00 degrees
Space group P4/mmm (No. 123)
Inequivalent atoms, fractional coordinates:
1 Pm 0.000 0.000 0.100
2 Pm 0.000 0.000 0.299
3 Nd 0.000 0.000 0.500
4 Ni 0.500 0.500 0.000
5 Ni 0.500 0.500 0.200
6 Ni 0.500 0.500 0.398

Calculated values
Formation enthalpy at 0 K, eV per atom: -0.249
Density of states at the Fermi level, states/eV per atom: 0.948
Magnetic moment, μB per atom: 0.000

***

4.
BePt3Rh | GGA-PBE | relaxed

Cell lengths 4.799, 4.799, 4.799 Å; angles 90.00, 90.00, 90.00 degrees
Space group Pm-3m (No. 221)
Inequivalent atoms, fractional coordinates:
1 Be 0.000 0.000 0.000
2 Pt 0.000 0.500 0.500
3 Rh 0.500 0.500 0.500

Calculated values
Formation enthalpy at 0 K, eV per atom: 1.630
Density of states at the Fermi level, states/eV per atom: 1.531
Magnetic moment, μB per atom: 0.343
Offset from the most stable computed form, eV per formula unit: 7.20